VASP calculation (PBE) on a geometry-optimized Na5Si2As5 structure.

Cell and atoms, written as CIF:
```
data_Na5Si2As5
_chemical_formula_sum 'Na10 Si4 As10'
_symmetry_space_group_name_H-M 'C 1 2/m 1'
_symmetry_Int_Tables_number 12
_symmetry_space_group_name_Hall '-C 2y'
_cell_length_a 14.460
_cell_length_b 3.551
_cell_length_c 11.381
_cell_angle_alpha 90.00
_cell_angle_beta 106.65
_cell_angle_gamma 90.00
loop_
_atom_site_label
_atom_site_fract_x
_atom_site_fract_y
_atom_site_fract_z
Na1 0.000 0.000 0.000
Na2 0.170 0.000 0.578
Na3 0.217 0.500 0.126
Si1 0.032 0.500 0.299
As1 0.000 0.500 0.500
As2 0.112 0.500 0.861
As3 0.139 0.000 0.295
```

Values from the calculation:
Total DFT energy (no corrections): -3.657 eV/atom
E_form (uncorrected): -266 meV/atom
Mass density: 3.24 g/cm³


VASP calculation (PBE) on a geometry-optimized Na6SiAs4 structure.

Cell and atoms, written as CIF:
```
data_Na6SiAs4
_chemical_formula_sum 'Na12 Si2 As8'
_symmetry_space_group_name_H-M 'P 63 m c'
_symmetry_Int_Tables_number 186
_symmetry_space_group_name_Hall 'P 6c -2c'
_cell_length_a 9.7746
_cell_length_b 9.7746
_cell_length_c 6.6070
_cell_angle_alpha 90.00
_cell_angle_beta 90.00
_cell_angle_gamma 120.00
loop_
_atom_site_label
_atom_site_fract_x
_atom_site_fract_y
_atom_site_fract_z
Na1 0.0324 0.5162 0.0000
Na2 0.1516 0.3032 0.2627
Si1 0.3333 0.6667 0.6407
As1 0.1963 0.3926 0.7301
As2 0.3333 0.6667 0.2813
```

Values from the calculation:
Total DFT energy (no corrections): -3.245 eV/atom
E_form (uncorrected): -342 meV/atom
Mass density: 2.83 g/cm³


VASP calculation (PBE) on a geometry-optimized Na2SiAs structure.

Cell and atoms, written as CIF:
```
data_Na2SiAs
_chemical_formula_sum 'Na8 Si4 As4'
_symmetry_space_group_name_H-M 'I -4 2 d'
_symmetry_Int_Tables_number 122
_symmetry_space_group_name_Hall 'I -4 2bw'
_cell_length_a 8.553
_cell_length_b 8.553
_cell_length_c 5.142
_cell_angle_alpha 90.00
_cell_angle_beta 90.00
_cell_angle_gamma 90.00
loop_
_atom_site_label
_atom_site_fract_x
_atom_site_fract_y
_atom_site_fract_z
Na1 0.212 0.750 0.125
Si1 0.000 0.000 0.500
As1 0.000 0.000 0.000
```

Values from the calculation:
Total DFT energy (no corrections): -2.973 eV/atom
Energy above the most stable polymorph in this dataset: 186 meV/atom
E_form (uncorrected): 205 meV/atom
Mass density: 2.63 g/cm³


VASP calculation (PBE) on a geometry-optimized Na3SiAs2 structure.

Cell and atoms, written as CIF:
```
data_Na3SiAs2
_chemical_formula_sum 'Na12 Si4 As8'
_symmetry_space_group_name_H-M 'I b a m'
_symmetry_Int_Tables_number 72
_symmetry_space_group_name_Hall '-I 2 2c'
_cell_length_a 6.592
_cell_length_b 12.681
_cell_length_c 7.995
_cell_angle_alpha 90.00
_cell_angle_beta 90.00
_cell_angle_gamma 90.00
loop_
_atom_site_label
_atom_site_fract_x
_atom_site_fract_y
_atom_site_fract_z
Na1 0.000 0.000 0.250
Na2 0.000 0.277 0.250
Si1 0.000 0.500 0.000
As1 0.248 0.122 0.000
```

Values from the calculation:
Total DFT energy (no corrections): -3.212 eV/atom
E_form (uncorrected): -99 meV/atom
Mass density: 2.45 g/cm³